LiP5Os3 PBE optimized geometry; magnetic moment = 0.0 μB/cell; total energy = -6.769 eV/atom
1.0
5.8614 0.0000 0.0000
-2.9307 5.0761 0.0000
0.0000 0.0000 5.3099
Li P Os
1 5 3
Direct
0.0000 0.0000 0.0000
0.0000 0.0000 0.5000
0.3333 0.6667 0.2005
0.3333 0.6667 0.7995
0.6667 0.3333 0.2005
0.6667 0.3333 0.7995
0.0000 0.5000 0.5000
0.5000 0.0000 0.5000
0.5000 0.5000 0.5000